No. 1
Compound: Pr4Sm3Y
Source: Alexandria via LeMat-Bulk
Functional: PBE
Structure: optimized geometry

Cell and atoms, written as extended XYZ:
```
8
Lattice="11.9396 -1.7732 0.0000 11.9396 1.7732 0.0000 -2.0145 0.0000 6.6599" Properties=species:S:1:pos:R:3 pbc="T T T"
Pr 2.2165 0.0000 2.4302
Pr 4.6356 0.0000 5.0817
Pr 17.2291 0.0000 1.5782
Pr 19.6482 0.0000 4.2297
Sm -1.0072 0.0000 3.3300
Sm 1.1583 0.0000 5.8725
Sm 20.7064 0.0000 0.7874
Y 11.9396 0.0000 0.0000
```

Computed properties:
* ρ: 6.50 g cm⁻³
* calculated formation energy: 0.15 eV/atom
* M_tot: 0.00 μB/cell
* E above lowest polymorph: 0.117 eV per atom

No. 2
Compound: CaEr2PtO5
Source: Alexandria via LeMat-Bulk
Functional: PBE
Structure: optimized geometry

Cell and atoms, written as extended XYZ:
```
18
Lattice="6.4133 0.0000 0.0000 0.0000 6.4133 0.0000 0.0000 0.0000 5.8427" Properties=species:S:1:pos:R:3 pbc="T T T"
Ca 0.0000 0.0000 0.0000
Ca 3.2066 3.2066 0.0000
Er 1.1141 2.0925 2.9214
Er 2.0925 5.2992 2.9214
Er 4.3208 1.1141 2.9214
Er 5.2992 4.3208 2.9214
Pt 0.0000 3.2066 0.0000
Pt 3.2066 0.0000 0.0000
O 0.0000 0.0000 2.9214
O 0.9292 4.1358 1.5103
O 0.9292 4.1358 4.3325
O 2.2774 0.9292 1.5103
O 2.2774 0.9292 4.3325
O 3.2066 3.2066 2.9214
O 4.1358 5.4841 1.5103
O 4.1358 5.4841 4.3325
O 5.4841 2.2774 1.5103
O 5.4841 2.2774 4.3325
```

Computed properties:
* ρ: 8.98 g cm⁻³
* formation energy from raw total energies: -2631 meV/atom
* M_tot: 0.00 μB/cell

No. 3
Compound: NpPa2Co4As3
Source: Alexandria via LeMat-Bulk
Functional: PBE
Structure: optimized geometry

Cell and atoms, written as extended XYZ:
```
10
Lattice="4.0706 0.0000 0.0000 0.0000 4.0706 0.0000 0.0000 0.0000 9.9886" Properties=species:S:1:pos:R:3 pbc="T T T"
Np 0.0000 0.0000 0.0000
Pa 0.0000 2.0353 7.3613
Pa 2.0353 0.0000 2.6272
Co 0.0000 0.0000 4.9943
Co 0.0000 2.0353 1.4851
Co 2.0353 0.0000 8.5035
Co 2.0353 2.0353 4.9943
As 0.0000 2.0353 3.7619
As 2.0353 0.0000 6.2267
As 2.0353 2.0353 0.0000
```

Computed properties:
* ρ: 11.63 g cm⁻³
* calculated formation energy: -0.54 eV/atom
* M_tot: 1.94 μB/cell